# 1
VASP calculation (PBEsol) on a geometry-optimized PrAlGe structure.

The structure in extended XYZ format:
```
12
Lattice="4.240 0.000 0.000 0.000 4.240 0.000 0.000 0.000 14.667" Properties=species:S:1:pos:R:3 pbc="T T T"
Pr 0.000 0.000 0.000
Pr 0.000 2.120 3.667
Pr 2.120 0.000 11.001
Pr 2.120 2.120 7.334
Al 0.000 0.000 6.100
Al 0.000 2.120 9.767
Al 2.120 0.000 2.433
Al 2.120 2.120 13.433
Ge 0.000 0.000 8.536
Ge 0.000 2.120 12.203
Ge 2.120 0.000 4.869
Ge 2.120 2.120 1.202
```

Values from the calculation:
- Energy of formation: -0.726 eV per atom
- Symmetry: I4_1md

***

# 2
VASP calculation (PBEsol) on a geometry-optimized Pr2Al3Ge structure.

The structure in extended XYZ format:
```
6
Lattice="4.175 0.000 0.000 0.000 4.346 0.000 0.000 0.000 7.519" Properties=species:S:1:pos:R:3 pbc="T T T"
Pr 0.000 0.000 0.000
Pr 0.000 2.173 3.659
Al 2.088 0.000 4.948
Al 2.088 2.173 1.205
Al 2.088 2.173 6.200
Ge 2.088 0.000 2.463
```

Values from the calculation:
- Energy of formation: -0.590 eV per atom
- Symmetry: Pmm2

***

# 3
VASP calculation (PBEsol) on a geometry-optimized PrAl2Ge2 structure.

The structure in extended XYZ format:
```
5
Lattice="4.265 0.000 0.000 -2.132 3.693 0.000 0.000 0.000 6.825" Properties=species:S:1:pos:R:3 pbc="T T T"
Pr 0.000 0.000 0.000
Al 0.000 2.462 4.379
Al 2.132 1.231 2.446
Ge 0.000 2.462 1.823
Ge 2.132 1.231 5.001
```

Values from the calculation:
- Energy of formation: -0.468 eV per atom
- Symmetry: P-3m1

***

# 4
VASP calculation (PBEsol) on a geometry-optimized Al2SiGePt structure.

The structure in extended XYZ format:
```
5
Lattice="4.721 0.000 0.000 0.000 4.721 0.000 0.000 0.000 4.681" Properties=species:S:1:pos:R:3 pbc="T T T"
Al 0.000 2.360 0.000
Al 2.360 0.000 0.000
Si 0.000 0.000 2.340
Ge 2.360 2.360 0.000
Pt 2.360 2.360 2.340
```

Values from the calculation:
- Formation energy without anion corrections: 76.5 kJ/mol of atoms
- Symmetry: P4/mmm

***

The following D(E_F) values (in states/eV/cell) correspond, in order, to the records above: 0.9 2.4 1.5 3.3.